(1)
VASP calculation (PBE) on a relaxed KAlTl2 crystal.

Structure (POSCAR):
```
KAlTl2
1.0
4.6438 0.0000 0.0000
0.0000 3.4012 0.0142
0.0000 1.7798 7.6951
Tl K Al
2 1 1
Direct
0.0000 0.0686 0.0515
0.0000 0.4314 0.4485
0.5000 0.7500 0.7500
0.5000 0.2500 0.2500
```

Energy above the most stable polymorph in this dataset = 15 meV/atom
DOS at the Fermi energy = 1.134 states/eV per cell
Total magnetic moment = 0.00 μB per formula unit

(2)
VASP calculation (PBE) on a relaxed SnPbAu crystal.

Structure (POSCAR):
```
SnPbAu
1.0
5.8282 0.0000 0.0000
2.9141 4.8898 0.0000
2.9141 0.0000 10.7928
Sn Au Pb
4 4 4
Direct
0.1714 0.5000 0.6572
0.3286 0.5000 0.3428
0.5786 0.0000 0.8428
0.4214 0.0000 0.1572
0.6319 0.5000 0.7362
0.8681 0.5000 0.2638
0.1181 0.0000 0.7638
0.8819 0.0000 0.2362
0.9268 0.1464 0.5000
0.5732 0.8536 0.5000
0.8232 0.3536 0.0000
0.1768 0.6464 0.0000
```

DOS at the Fermi energy = 4.853 states/eV per cell
Energy = -3.729 eV per atom
Total magnetic moment = 0.00 μB per formula unit

(3)
VASP calculation (PBE) on a relaxed LuNbIn2 crystal.

Structure (POSCAR):
```
LuNbIn2
1.0
-0.4066 3.9426 2.0410
-3.1463 -1.6888 2.6355
3.1039 -1.2001 2.9365
Nb Lu In
1 1 2
Direct
0.5000 0.5000 0.5000
0.5000 0.0000 0.0000
0.0000 0.0000 0.5000
0.0000 0.5000 0.0000
```

DOS at the Fermi energy = 2.938 states/eV per cell
Energy = -5.097 eV per atom
Total magnetic moment = 0.00 μB per formula unit

(4)
VASP calculation (PBE) on a relaxed Sc2TlHAu crystal.

Structure (POSCAR):
```
Sc2TlHAu
1.0
4.6398 0.0000 0.0000
0.0000 4.6398 0.0000
0.0000 0.0000 4.0318
Sc H Tl Au
2 1 1 1
Direct
0.0000 0.5000 0.0000
0.5000 0.0000 0.0000
0.0000 0.0000 0.0000
0.5000 0.5000 0.5000
0.0000 0.0000 0.5000
```

DOS at the Fermi energy = 3.392 states/eV per cell
Energy = -4.725 eV per atom
Total magnetic moment = 0.75 μB per formula unit

(5)
VASP calculation (PBE) on a relaxed OsSeCl2 crystal.

Structure (POSCAR):
```
OsSeCl2
1.0
-2.7270 2.1623 -1.3547
-0.5657 0.2035 -3.6859
-5.0430 -6.2366 0.5646
Os Se Cl
1 1 2
Direct
0.4603 0.4603 0.4650
0.1240 0.1240 0.3383
0.1178 0.1178 0.0561
0.7979 0.7979 0.6405
```

Energy above the most stable polymorph in this dataset = 45 meV/atom
Total magnetic moment = 0.00 μB per formula unit
Energy relative to the elements, uncorrected = -0.0697 eV/atom

(6)
VASP calculation (PBE) on a relaxed TmAl6Ni3 crystal.

Structure (POSCAR):
```
TmAl6Ni3
1.0
-3.4602 2.2149 -0.1456
-2.5771 -3.6431 5.8248
4.7652 7.8064 5.5048
Tm Al Ni
2 12 6
Direct
0.7500 0.9717 0.7864
0.2500 0.0283 0.2136
0.7500 0.4140 0.4405
0.2500 0.5860 0.5595
0.7500 0.7735 0.0397
0.2500 0.2265 0.9603
0.7500 0.4198 0.1052
0.2500 0.5802 0.8948
0.7500 0.7180 0.2946
0.2500 0.2820 0.7054
0.7500 0.0513 0.4392
0.2500 0.9487 0.5608
0.7500 0.5554 0.7151
0.2500 0.4446 0.2849
0.7500 0.3523 0.8643
0.2500 0.6477 0.1357
0.7500 0.7520 0.5401
0.2500 0.2480 0.4599
0.7500 0.1030 0.0330
0.2500 0.8970 0.9670
```

DOS at the Fermi energy = 7.085 states/eV per cell
Energy = -4.870 eV per atom
Total magnetic moment = 0.00 μB per formula unit

(7)
VASP calculation (PBE) on a relaxed Sm2As4IrRh3 crystal.

Structure (POSCAR):
```
Sm2As4IrRh3
1.0
4.2487 0.0000 0.0000
0.0000 4.2487 0.0000
0.0000 0.0000 10.1280
Sm As Ir Rh
2 4 1 3
Direct
0.5000 0.0000 0.2486
0.0000 0.5000 0.7514
0.5000 0.5000 0.0000
0.0000 0.0000 0.0000
0.5000 0.0000 0.6385
0.0000 0.5000 0.3615
0.5000 0.5000 0.5000
0.0000 0.0000 0.5000
0.5000 0.0000 0.8763
0.0000 0.5000 0.1237
```

DOS at the Fermi energy = 5.628 states/eV per cell
Energy = -6.760 eV per atom
Total magnetic moment = 0.00 μB per formula unit

(8)
VASP calculation (PBE) on a relaxed Hf2OsPt crystal.

Structure (POSCAR):
```
Hf2OsPt
1.0
3.2013 0.0000 0.0000
0.0000 3.2013 0.0000
0.0000 0.0000 6.9605
Hf Os Pt
2 1 1
Direct
0.0000 0.0000 0.7596
0.0000 0.0000 0.2404
0.5000 0.5000 0.0000
0.5000 0.5000 0.5000
```

DOS at the Fermi energy = 3.347 states/eV per cell
Energy = -10.112 eV per atom
Total magnetic moment = 0.00 μB per formula unit

(9)
VASP calculation (PBE) on a relaxed Ba2SbO crystal.

Structure (POSCAR):
```
Ba2SbO
1.0
-2.2439 -2.3822 -4.0566
0.7998 -5.0874 -0.8034
-7.3733 -4.3477 3.2833
Sb Ba O
1 2 1
Direct
0.5000 0.5000 0.5000
0.0878 0.0878 0.7366
0.9122 0.9122 0.2634
0.0000 0.0000 0.0000
```

Energy above the most stable polymorph in this dataset = 348 meV/atom
DOS at the Fermi energy = 2.437 states/eV per cell
Total magnetic moment = 1.04 μB per formula unit
Energy relative to the elements, uncorrected = -1.2181 eV/atom

(10)
VASP calculation (PBE) on a relaxed NaBBrCl2 crystal.

Structure (POSCAR):
```
NaBBrCl2
1.0
-3.0154 2.8214 1.8335
-3.2880 -3.6483 0.2065
1.4794 -1.0997 4.1252
Na B Br Cl
1 1 1 2
Direct
0.5000 0.5000 0.5000
0.0000 0.0000 0.0000
0.0000 0.5000 0.0000
0.0000 0.0000 0.5000
0.5000 0.0000 0.0000
```

DOS at the Fermi energy = 0.892 states/eV per cell
Total magnetic moment = 0.00 μB per formula unit
Energy relative to the elements, uncorrected = -0.3108 eV/atom

(11)
VASP calculation (PBE) on a relaxed KCaAl2 crystal.

Structure (POSCAR):
```
KCaAl2
1.0
3.9180 -0.0017 0.0000
0.0017 3.9180 0.0000
0.0000 0.0000 8.0621
Ca K Al
1 1 2
Direct
0.5000 0.5000 0.2500
0.5000 0.5000 0.7500
0.0000 0.0000 0.0675
0.0000 0.0000 0.4325
```

Energy above the most stable polymorph in this dataset = 31 meV/atom
DOS at the Fermi energy = 3.083 states/eV per cell
Total magnetic moment = 0.00 μB per formula unit